1.
Crystalline MnSiSnIrS at its relaxed geometry, computed with PBE-GGA.

Calculated values
Magnetic moment in μB/f.u.: 1.9
Energy above the most stable polymorph in this dataset in meV per atom: 153
V in Å³ per cell: 161.9

Unit cell a=8.993 b=3.115 c=5.900 alpha=90.00 beta=101.67 gamma=90.00
Fractional coordinates of all 10 atoms:
Mn  0.000  0.000  0.000
Mn  0.500  0.500  0.000
Si  0.368  0.500  0.313
Si  0.868  0.000  0.313
Sn  0.256  0.000  0.813
Sn  0.756  0.500  0.813
Ir  0.001  0.500  0.591
Ir  0.501  0.000  0.591
S  0.111  0.500  0.252
S  0.611  0.000  0.252



2.
Crystalline TcPHO2 at its relaxed geometry, computed with PBE-GGA.

Calculated values
Magnetic moment in μB/f.u.: 1.5
Energy above the most stable polymorph in this dataset in meV per atom: 752
V in Å³ per cell: 45.8

Unit cell a=3.933 b=3.933 c=2.960 alpha=90.00 beta=90.00 gamma=90.00
Fractional coordinates of all 5 atoms:
Tc  0.000  0.000  0.000
P  0.500  0.500  0.000
H  0.500  0.500  0.500
O  0.000  0.500  0.500
O  0.500  0.000  0.500



3.
Crystalline Tl2InAg at its relaxed geometry, computed with PBE-GGA.

Calculated values
ΔH_f (0 K) in eV/atom: 0.11
Magnetic moment in μB/f.u.: 0.0
Energy above the most stable polymorph in this dataset in meV per atom: 71
V in Å³ per cell: 212.0

Unit cell a=6.368 b=9.919 c=3.370 alpha=90.00 beta=95.09 gamma=90.00
Fractional coordinates of all 8 atoms:
Tl  0.250  0.250  0.000
Tl  0.250  0.750  0.000
Tl  0.750  0.250  0.000
Tl  0.750  0.750  0.000
In  0.000  0.000  0.500
In  0.500  0.500  0.500
Ag  0.000  0.500  0.500
Ag  0.500  0.000  0.500



4.
Crystalline YTh2Se4 at its relaxed geometry, computed with PBE-GGA.

Calculated values
Magnetic moment in μB/f.u.: 0.0
Energy above the most stable polymorph in this dataset in meV per atom: 12
V in Å³ per cell: 388.8

Unit cell a=7.052 b=7.052 c=14.521 alpha=90.00 beta=90.00 gamma=147.43
Fractional coordinates of all 14 atoms:
Y  0.114  0.886  0.750
Y  0.886  0.114  0.250
Th  0.356  0.644  0.566
Th  0.356  0.644  0.934
Th  0.644  0.356  0.066
Th  0.644  0.356  0.434
Se  0.000  0.000  0.000
Se  0.000  0.000  0.500
Se  0.292  0.708  0.132
Se  0.292  0.708  0.368
Se  0.456  0.544  0.750
Se  0.544  0.456  0.250
Se  0.708  0.292  0.632
Se  0.708  0.292  0.868



5.
Crystalline DyY3Cu2 at its relaxed geometry, computed with PBE-GGA.

Calculated values
ΔH_f (0 K) in eV/atom: 0.02
Magnetic moment in μB/f.u.: 0.0
V in Å³ per cell: 329.6

Unit cell a=8.355 b=8.355 c=8.355 alpha=132.02 beta=72.72 gamma=128.87
Fractional coordinates of all 12 atoms:
Dy  0.000  0.000  0.000
Dy  0.500  0.500  0.000
Y  0.016  0.250  0.766
Y  0.250  0.750  0.500
Y  0.484  0.250  0.234
Y  0.516  0.750  0.766
Y  0.750  0.250  0.500
Y  0.984  0.750  0.234
Cu  0.141  0.710  0.851
Cu  0.359  0.210  0.569
Cu  0.641  0.790  0.431
Cu  0.859  0.290  0.149



6.
Crystalline MnTc2Ru at its relaxed geometry, computed with PBE-GGA.

Calculated values
ΔH_f (0 K) in eV/atom: 0.07
Magnetic moment in μB/f.u.: 1.4
Energy above the most stable polymorph in this dataset in meV per atom: 19
V in Å³ per cell: 110.4

Unit cell a=3.829 b=3.829 c=7.531 alpha=90.00 beta=90.00 gamma=90.00
Fractional coordinates of all 8 atoms:
Mn  0.000  0.000  0.000
Mn  0.500  0.500  0.500
Tc  0.000  0.000  0.500
Tc  0.000  0.500  0.250
Tc  0.500  0.000  0.750
Tc  0.500  0.500  0.000
Ru  0.000  0.500  0.750
Ru  0.500  0.000  0.250



7.
Crystalline K2Cd12Hg5 at its relaxed geometry, computed with PBE-GGA.

Calculated values
ΔH_f (0 K) in eV/atom: -0.05
Magnetic moment in μB/f.u.: 0.0
V in Å³ per cell: 492.9

Unit cell a=7.943 b=7.943 c=7.943 alpha=83.81 beta=83.81 gamma=83.81
Fractional coordinates of all 19 atoms:
K  0.165  0.165  0.165
K  0.835  0.835  0.835
Cd  0.147  0.147  0.662
Cd  0.147  0.662  0.147
Cd  0.198  0.500  0.802
Cd  0.198  0.802  0.500
Cd  0.338  0.853  0.853
Cd  0.500  0.198  0.802
Cd  0.500  0.802  0.198
Cd  0.662  0.147  0.147
Cd  0.802  0.198  0.500
Cd  0.802  0.500  0.198
Cd  0.853  0.338  0.853
Cd  0.853  0.853  0.338
Hg  0.000  0.500  0.500
Hg  0.401  0.401  0.401
Hg  0.500  0.000  0.500
Hg  0.500  0.500  0.000
Hg  0.599  0.599  0.599



8.
Crystalline SrTlS2 at its relaxed geometry, computed with PBE-GGA.

Calculated values
Total DFT energy (no corrections) in eV/atom: -4.046
Magnetic moment in μB/f.u.: 0.0
V in Å³ per cell: 565.9

Unit cell a=6.378 b=6.378 c=13.910 alpha=90.00 beta=90.00 gamma=90.00
Fractional coordinates of all 16 atoms:
Sr  0.000  0.000  0.000
Sr  0.000  0.500  0.250
Sr  0.500  0.000  0.750
Sr  0.500  0.500  0.500
Tl  0.000  0.000  0.500
Tl  0.000  0.500  0.750
Tl  0.500  0.000  0.250
Tl  0.500  0.500  0.000
S  0.233  0.250  0.625
S  0.250  0.733  0.875
S  0.250  0.767  0.375
S  0.267  0.250  0.125
S  0.733  0.750  0.125
S  0.750  0.233  0.375
S  0.750  0.267  0.875
S  0.767  0.750  0.625



9.
Crystalline CsKRb2Mg at its relaxed geometry, computed with PBE-GGA.

Calculated values
ΔH_f (0 K) in eV/atom: 0.16
Magnetic moment in μB/f.u.: 0.0
Energy above the most stable polymorph in this dataset in meV per atom: 0
V in Å³ per cell: 416.0

Unit cell a=7.536 b=7.536 c=7.326 alpha=90.00 beta=90.00 gamma=90.00
Fractional coordinates of all 5 atoms:
Cs  0.000  0.000  0.000
K  0.500  0.500  0.000
Rb  0.000  0.500  0.500
Rb  0.500  0.000  0.500
Mg  0.500  0.500  0.500



10.
Crystalline ScIBr3 at its relaxed geometry, computed with PBE-GGA.

Calculated values
Magnetic moment in μB/f.u.: 0.0
Energy above the most stable polymorph in this dataset in meV per atom: 55
V in Å³ per cell: 397.3

Unit cell a=7.131 b=7.436 c=7.857 alpha=78.92 beta=82.81 gamma=77.27
Fractional coordinates of all 10 atoms:
Sc  0.000  0.000  0.000
Sc  0.466  0.083  0.849
I  0.080  0.588  0.252
I  0.825  0.883  0.383
Br  0.124  0.302  0.792
Br  0.282  0.822  0.794
Br  0.284  0.029  0.176
Br  0.577  0.201  0.521
Br  0.671  0.271  0.985
Br  0.773  0.809  0.890



11.
Crystalline TlCrTe2 at its relaxed geometry, computed with PBE-GGA.

Calculated values
Total DFT energy (no corrections) in eV/atom: -4.529
Magnetic moment in μB/f.u.: 3.3
V in Å³ per cell: 107.3

Unit cell a=3.560 b=3.560 c=8.466 alpha=90.00 beta=90.00 gamma=90.00
Fractional coordinates of all 4 atoms:
Tl  0.000  0.000  0.000
Cr  0.000  0.000  0.500
Te  0.500  0.500  0.308
Te  0.500  0.500  0.692



12.
Crystalline Tm2Al2CdPd5 at its relaxed geometry, computed with PBE-GGA.

Calculated values
ΔH_f (0 K) in eV/atom: -0.75
Magnetic moment in μB/f.u.: 0.0
V in Å³ per cell: 363.2

Unit cell a=9.939 b=9.939 c=3.676 alpha=90.00 beta=90.00 gamma=90.00
Fractional coordinates of all 20 atoms:
Tm  0.178  0.322  0.000
Tm  0.322  0.822  0.000
Tm  0.678  0.178  0.000
Tm  0.822  0.678  0.000
Al  0.119  0.619  0.000
Al  0.381  0.119  0.000
Al  0.619  0.881  0.000
Al  0.881  0.381  0.000
Cd  0.000  0.000  0.000
Cd  0.500  0.500  0.000
Pd  0.000  0.500  0.500
Pd  0.067  0.787  0.500
Pd  0.213  0.067  0.500
Pd  0.287  0.567  0.500
Pd  0.433  0.287  0.500
Pd  0.500  0.000  0.500
Pd  0.567  0.713  0.500
Pd  0.713  0.433  0.500
Pd  0.787  0.933  0.500
Pd  0.933  0.213  0.500



13.
Crystalline Na2SmMgPb2 at its relaxed geometry, computed with PBE-GGA.

Calculated values
ΔH_f (0 K) in eV/atom: -0.28
Magnetic moment in μB/f.u.: 0.0
V in Å³ per cell: 350.9

Unit cell a=4.961 b=9.302 c=7.604 alpha=90.00 beta=90.00 gamma=90.00
Fractional coordinates of all 12 atoms:
Na  0.000  0.068  0.000
Na  0.000  0.932  0.500
Na  0.500  0.163  0.300
Na  0.500  0.837  0.800
Sm  0.500  0.466  0.965
Sm  0.500  0.534  0.465
Mg  0.000  0.311  0.634
Mg  0.000  0.689  0.134
Pb  0.000  0.380  0.239
Pb  0.000  0.620  0.739
Pb  0.500  0.171  0.731
Pb  0.500  0.829  0.231



14.
Crystalline TiGa2Au at its relaxed geometry, computed with PBE-GGA.

Calculated values
ΔH_f (0 K) in eV/atom: -0.26
Magnetic moment in μB/f.u.: 0.0
V in Å³ per cell: 66.1

Unit cell a=2.932 b=2.932 c=7.691 alpha=90.00 beta=90.00 gamma=90.00
Fractional coordinates of all 4 atoms:
Ti  0.000  0.000  0.000
Ga  0.500  0.500  0.243
Ga  0.500  0.500  0.757
Au  0.000  0.000  0.500



15.
Crystalline Sc2RhC2 at its relaxed geometry, computed with PBE-GGA.

Calculated values
ΔH_f (0 K) in eV/atom: 0.34
Magnetic moment in μB/f.u.: 0.0
Energy above the most stable polymorph in this dataset in meV per atom: 754
V in Å³ per cell: 133.1

Unit cell a=3.080 b=3.080 c=14.030 alpha=90.00 beta=90.00 gamma=90.00
Fractional coordinates of all 10 atoms:
Sc  0.000  0.000  0.128
Sc  0.000  0.000  0.872
Sc  0.500  0.500  0.372
Sc  0.500  0.500  0.628
Rh  0.000  0.000  0.500
Rh  0.500  0.500  0.000
C  0.000  0.500  0.250
C  0.000  0.500  0.750
C  0.500  0.000  0.250
C  0.500  0.000  0.750



16.
Crystalline K2CaHf at its relaxed geometry, computed with PBE-GGA.

Calculated values
ΔH_f (0 K) in eV/atom: 1.11
Magnetic moment in μB/f.u.: 2.0
Energy above the most stable polymorph in this dataset in meV per atom: 0
V in Å³ per cell: 675.6

Unit cell a=8.774 b=8.774 c=8.774 alpha=90.00 beta=90.00 gamma=90.00
Fractional coordinates of all 16 atoms:
K  0.250  0.250  0.250
K  0.250  0.250  0.750
K  0.250  0.750  0.250
K  0.250  0.750  0.750
K  0.750  0.250  0.250
K  0.750  0.250  0.750
K  0.750  0.750  0.250
K  0.750  0.750  0.750
Ca  0.000  0.000  0.000
Ca  0.000  0.500  0.500
Ca  0.500  0.000  0.500
Ca  0.500  0.500  0.000
Hf  0.000  0.000  0.500
Hf  0.000  0.500  0.000
Hf  0.500  0.000  0.000
Hf  0.500  0.500  0.500



17.
Crystalline CaGaCu2C at its relaxed geometry, computed with PBE-GGA.

Calculated values
ΔH_f (0 K) in eV/atom: 0.75
Magnetic moment in μB/f.u.: 0.0
V in Å³ per cell: 87.3

Unit cell a=4.638 b=4.638 c=4.060 alpha=90.00 beta=90.00 gamma=90.00
Fractional coordinates of all 5 atoms:
Ca  0.000  0.000  0.000
Ga  0.500  0.500  0.500
Cu  0.000  0.500  0.500
Cu  0.500  0.000  0.500
C  0.500  0.500  0.000



18.
Crystalline BaTiCl2O at its relaxed geometry, computed with PBE-GGA.

Calculated values
Magnetic moment in μB/f.u.: 2.6
Energy above the most stable polymorph in this dataset in meV per atom: 0
V in Å³ per cell: 151.9

Unit cell a=5.970 b=5.970 c=4.261 alpha=90.00 beta=90.00 gamma=90.00
Fractional coordinates of all 5 atoms:
Ba  0.000  0.000  0.000
Ti  0.500  0.500  0.000
Cl  0.000  0.500  0.500
Cl  0.500  0.000  0.500
O  0.000  0.000  0.500



19.
Crystalline Co8Ni2W at its relaxed geometry, computed with PBE-GGA.

Calculated values
ΔH_f (0 K) in eV/atom: 0.13
Magnetic moment in μB/f.u.: 11.1
V in Å³ per cell: 126.0

Unit cell a=6.129 b=6.129 c=6.550 alpha=122.10 beta=122.10 gamma=38.27
Fractional coordinates of all 11 atoms:
Co  0.057  0.057  0.291
Co  0.154  0.154  0.757
Co  0.312  0.312  0.623
Co  0.411  0.411  0.060
Co  0.589  0.589  0.940
Co  0.688  0.688  0.377
Co  0.846  0.846  0.243
Co  0.943  0.943  0.709
Ni  0.221  0.221  0.181
Ni  0.779  0.779  0.819
W  0.500  0.500  0.500



20.
Crystalline Y4SiPSe2 at its relaxed geometry, computed with PBE-GGA.

Calculated values
Total DFT energy (no corrections) in eV/atom: -7.036
Magnetic moment in μB/f.u.: 0.0
V in Å³ per cell: 193.8

Unit cell a=7.064 b=4.078 c=7.126 alpha=90.00 beta=109.24 gamma=90.00
Fractional coordinates of all 8 atoms:
Y  0.244  0.000  0.231
Y  0.255  0.500  0.766
Y  0.745  0.500  0.234
Y  0.756  0.000  0.769
Si  0.500  0.000  0.000
P  0.000  0.500  0.000
Se  0.000  0.000  0.500
Se  0.500  0.500  0.500